1.
DFT (PBE) results for an optimized crystal structure of Na2SbP2.

Symmetry: P4/mbm (127)
M_tot in μB/f.u.: 0.0

a b c (Å): 7.093 7.093 4.495
angles (deg): 90.00 90.00 90.00
Sites, in units of the cell vectors:
Na1 0.180 0.320 0.000
Na2 0.320 0.820 0.000
Na3 0.680 0.180 0.000
Na4 0.820 0.680 0.000
Sb1 0.000 0.000 0.500
Sb2 0.500 0.500 0.500
P1 0.110 0.610 0.500
P2 0.390 0.110 0.500
P3 0.610 0.890 0.500
P4 0.890 0.390 0.500

=====

2.
DFT (PBE) results for an optimized crystal structure of NaSbP.

Symmetry: P-1 (2)
M_tot in μB/f.u.: 0.0

a b c (Å): 3.295 3.819 12.079
angles (deg): 90.00 97.75 90.37
Sites, in units of the cell vectors:
Na1 0.153 0.499 0.304
Na2 0.847 0.501 0.696
Sb1 0.441 0.001 0.884
Sb2 0.559 0.999 0.116
P1 0.279 0.000 0.559
P2 0.721 0.000 0.441

=====

3.
DFT (PBE) results for an optimized crystal structure of Na2SbP2.

Symmetry: I4/mmm (139)
M_tot in μB/f.u.: 0.0

a b c (Å): 6.468 6.468 6.468
angles (deg): 139.74 139.74 58.25
Sites, in units of the cell vectors:
Na1 0.250 0.750 0.500
Na2 0.750 0.250 0.500
Sb1 0.000 0.000 0.000
P1 0.407 0.407 0.000
P2 0.593 0.593 0.000

=====

4.
DFT (PBE) results for an optimized crystal structure of Na2SbP.

Symmetry: Fm-3m (225)
M_tot in μB/f.u.: 0.0

a b c (Å): 5.061 5.061 5.061
angles (deg): 60.00 60.00 60.00
Sites, in units of the cell vectors:
Na1 0.250 0.250 0.250
Na2 0.750 0.750 0.750
Sb1 0.000 0.000 0.000
P1 0.500 0.500 0.500

=====

5.
DFT (PBE) results for an optimized crystal structure of Na8Sb2P.

Symmetry: Immm (71)
M_tot in μB/f.u.: 0.0

a b c (Å): 9.144 9.144 9.144
angles (deg): 146.62 134.75 57.39
Sites, in units of the cell vectors:
Na1 0.119 0.364 0.755
Na2 0.193 0.193 0.000
Na3 0.243 0.000 0.243
Na4 0.391 0.636 0.755
Na5 0.609 0.364 0.245
Na6 0.757 0.000 0.757
Na7 0.807 0.807 0.000
Na8 0.881 0.636 0.245
Sb1 0.320 0.820 0.500
Sb2 0.680 0.180 0.500
P1 0.000 0.500 0.500

=====

6.
DFT (PBE) results for an optimized crystal structure of NaSbP.

Symmetry: P3m1 (156)
M_tot in μB/f.u.: 0.0

a b c (Å): 3.846 3.846 6.111
angles (deg): 90.00 90.00 120.00
Sites, in units of the cell vectors:
Na1 0.000 0.000 0.000
Sb1 0.333 0.667 0.567
P1 0.667 0.333 0.330

=====

7.
DFT (PBE) results for an optimized crystal structure of Na8Sb2P.

Symmetry: Imm2 (44)
M_tot in μB/f.u.: 0.0

a b c (Å): 9.284 9.284 9.284
angles (deg): 149.77 59.15 130.45
Sites, in units of the cell vectors:
Na1 0.000 0.000 0.000
Na2 0.185 0.535 0.650
Na3 0.269 0.363 0.906
Na4 0.322 0.024 0.298
Na5 0.457 0.363 0.094
Na6 0.647 0.147 0.500
Na7 0.727 0.024 0.702
Na8 0.885 0.535 0.350
Sb1 0.597 0.753 0.843
Sb2 0.910 0.753 0.157
P1 0.258 0.758 0.500

=====

8.
DFT (PBE) results for an optimized crystal structure of NaSb3P.

Symmetry: Pm-3m (221)
M_tot in μB/f.u.: 0.0

a b c (Å): 5.305 5.305 5.305
angles (deg): 90.00 90.00 90.00
Sites, in units of the cell vectors:
Na1 0.000 0.000 0.000
Sb1 0.000 0.000 0.500
Sb2 0.000 0.500 0.000
Sb3 0.500 0.000 0.000
P1 0.500 0.500 0.500

=====

9.
DFT (PBE) results for an optimized crystal structure of Na2SbP.

Symmetry: I-42d (122)
M_tot in μB/f.u.: 0.0

a b c (Å): 6.976 6.976 6.976
angles (deg): 98.50 98.50 134.78
Sites, in units of the cell vectors:
Na1 0.037 0.125 0.412
Na2 0.375 0.963 0.088
Na3 0.713 0.625 0.588
Na4 0.875 0.287 0.912
Sb1 0.250 0.750 0.500
Sb2 0.500 0.500 0.000
P1 0.000 0.000 0.000
P2 0.750 0.250 0.500

=====

10.
DFT (PBE) results for an optimized crystal structure of Na2SbPSe4.

Symmetry: I-4 (82)
M_tot in μB/f.u.: 0.0

a b c (Å): 7.953 7.953 7.953
angles (deg): 133.29 133.29 68.20
Sites, in units of the cell vectors:
Na1 0.000 0.000 0.000
Na2 0.750 0.250 0.500
Sb1 0.500 0.500 0.000
P1 0.250 0.750 0.500
Se1 0.164 0.636 0.069
Se2 0.364 0.433 0.528
Se3 0.567 0.095 0.931
Se4 0.905 0.836 0.472

=====

11.
DFT (PBE) results for an optimized crystal structure of NaSi2SbP.

Symmetry: P4/mmm (123)
M_tot in μB/f.u.: 0.0

a b c (Å): 4.670 4.670 5.027
angles (deg): 90.00 90.00 90.00
Sites, in units of the cell vectors:
Na1 0.000 0.000 0.000
Si1 0.000 0.500 0.500
Si2 0.500 0.000 0.500
Sb1 0.500 0.500 0.000
P1 0.000 0.000 0.500

=====

12.
DFT (PBE) results for an optimized crystal structure of NaTc2SbP.

Symmetry: P4/mmm (123)
M_tot in μB/f.u.: 1.8

a b c (Å): 4.490 4.490 4.834
angles (deg): 90.00 90.00 90.00
Sites, in units of the cell vectors:
Na1 0.000 0.000 0.000
Tc1 0.000 0.500 0.500
Tc2 0.500 0.000 0.500
Sb1 0.500 0.500 0.000
P1 0.000 0.000 0.500

=====

| no. | calculated total energy (eV/cell) | uncorrected formation energy (eV/atom) |
| --- | --- | --- |
| 1 | -37.21 | -0.205 |
| 2 | -22.56 | -0.143 |
| 3 | -17.22 | 0.071 |
| 4 | -12.07 | 0.024 |
| 5 | -28.02 | -0.346 |
| 6 | -11.04 | -0.064 |
| 7 | -27.91 | -0.336 |
| 8 | -13.07 | 1.205 |
| 9 | -24.34 | 0.000 |
| 10 | -28.98 | -0.358 |
| 11 | -19.42 | 0.455 |
| 12 | -29.38 | 0.440 |